# 1
The following is a DFT calculation (PBE) of crystalline InS2F at its relaxed geometry.

abc: 9.2187 9.2187 9.2187
angles: 18.06 18.06 18.06
With the nearest neighbours (Å) after each atom.
Element x y z (fractional)
In (0.0000, 0.0000, 0.0000)  2 S 2.61, 6 In 2.89
S (0.0960, 0.0960, 0.0960)  3 F 2.55, 1 In 2.61
S (0.9040, 0.9040, 0.9040)  3 F 2.55, 1 In 2.61
F (0.5000, 0.5000, 0.5000)  6 S 2.55

ΔE_f (raw)	35.2	kJ per mole of atoms
DOS(E_F)	3.6	states/eV/cell
uncorrected energy	-2.85	eV per atom
space group	R-3m
M_tot	0.0	Bohr magnetons per cell

# 2
The following is a DFT calculation (PBE) of crystalline InS2F at its relaxed geometry.

abc: 4.5063 4.5063 4.5063
angles: 60.00 60.00 60.00
With the nearest neighbours (Å) after each atom.
Element x y z (fractional)
In (0.0000, 0.0000, 0.0000)  8 S 2.76
S (0.2500, 0.2500, 0.2500)  4 F 2.76, 4 In 2.76
S (0.7500, 0.7500, 0.7500)  4 F 2.76, 4 In 2.76
F (0.5000, 0.5000, 0.5000)  8 S 2.76

ΔE_f (raw)	-13.7	kJ per mole of atoms
DOS(E_F)	3.6	states/eV/cell
uncorrected energy	-3.36	eV per atom
space group	Fm-3m
M_tot	0.0	Bohr magnetons per cell

# 3
The following is a DFT calculation (PBE) of crystalline InS3F at its relaxed geometry.

abc: 4.4852 4.4852 4.4852
angles: 90.00 90.00 90.00
With the nearest neighbours (Å) after each atom.
Element x y z (fractional)
In (0.0000, 0.0000, 0.0000)  12 S 3.17
S (0.0000, 0.5000, 0.5000)  2 F 2.24
S (0.5000, 0.0000, 0.5000)  2 F 2.24
S (0.5000, 0.5000, 0.0000)  2 F 2.24
F (0.5000, 0.5000, 0.5000)  6 S 2.24

ΔE_f (raw)	53.3	kJ per mole of atoms
DOS(E_F)	4.1	states/eV/cell
uncorrected energy	-2.85	eV per atom
space group	Pm-3m
M_tot	0.0	Bohr magnetons per cell

# 4
The following is a DFT calculation (PBE) of crystalline InS5F at its relaxed geometry.

abc: 9.4219 9.4219 4.3642
angles: 101.80 101.80 137.64
With the nearest neighbours (Å) after each atom.
Element x y z (fractional)
In (0.0000, 0.0000, 0.0000)  2 F 2.27, 2 S 2.50
S (0.3119, 0.4484, 0.2229)  1 S 2.01
S (0.5380, 0.2003, 0.2185)  2 S 2.06
S (0.5516, 0.6881, 0.7771)  1 S 2.01
S (0.7407, 0.2593, 0.0000)  2 S 2.06
S (0.7997, 0.4620, 0.7815)  2 S 2.06
F (0.0354, 0.9646, 0.5000)  2 In 2.27

ΔE_f (raw)	-37.6	kJ per mole of atoms
DOS(E_F)	0.2	states/eV/cell
uncorrected energy	-4.00	eV per atom
space group	C2
M_tot	0.0	Bohr magnetons per cell

# 5
The following is a DFT calculation (PBE) of crystalline InS8F2 at its relaxed geometry.

abc: 7.2314 7.2314 6.8198
angles: 109.44 109.44 103.35
With the nearest neighbours (Å) after each atom.
Element x y z (fractional)
In (0.0000, 0.0000, 0.0000)  2 F 2.00
S (0.0500, 0.6382, 0.1310)  1 S 1.95
S (0.2962, 0.2962, 0.9266)  1 S 1.91
S (0.3618, 0.9500, 0.8690)  1 S 1.95
S (0.4925, 0.4925, 0.2403)  1 S 1.91
S (0.5075, 0.5075, 0.7597)  1 S 1.91
S (0.6382, 0.0500, 0.1310)  1 S 1.95
S (0.7038, 0.7038, 0.0734)  1 S 1.91
S (0.9500, 0.3618, 0.8690)  1 S 1.95
F (0.1498, 0.1498, 0.3479)  1 In 2.00
F (0.8502, 0.8502, 0.6521)  1 In 2.00

ΔE_f (raw)	-30.1	kJ per mole of atoms
DOS(E_F)	3.8	states/eV/cell
uncorrected energy	-3.90	eV per atom
space group	C2/m
M_tot	0.0	Bohr magnetons per cell

# 6
The following is a DFT calculation (PBE) of crystalline TlInSF2 at its relaxed geometry.

abc: 4.3818 4.3818 4.9406
angles: 90.00 90.00 90.00
With the nearest neighbours (Å) after each atom.
Element x y z (fractional)
Tl (0.0000, 0.0000, 0.0000)  4 S 3.10, 8 F 3.30
In (0.5000, 0.5000, 0.5000)  4 F 2.19
S (0.5000, 0.5000, 0.0000)  2 In 2.47
F (0.0000, 0.5000, 0.5000)  2 In 2.19
F (0.5000, 0.0000, 0.5000)  2 In 2.19

ΔE_f (raw)	-143.4	kJ per mole of atoms
DOS(E_F)	0.1	states/eV/cell
uncorrected energy	-4.08	eV per atom
space group	P4/mmm
M_tot	0.0	Bohr magnetons per cell

# 7
The following is a DFT calculation (PBE) of crystalline TlInSF2 at its relaxed geometry.

abc: 7.5609 7.5609 7.5262
angles: 90.00 90.00 151.48
With the nearest neighbours (Å) after each atom.
Element x y z (fractional)
Tl (0.2362, 0.7638, 0.7500)  6 F 2.79-2.86
Tl (0.7638, 0.2362, 0.2500)  6 F 2.79-2.86
In (0.5000, 0.5000, 0.0000)  2 F 2.10
In (0.5000, 0.5000, 0.5000)  2 F 2.10
S (0.0330, 0.9670, 0.2500)  4 In 2.69
S (0.9670, 0.0330, 0.7500)  4 In 2.69
F (0.3586, 0.6414, 0.0455)  1 In 2.10
F (0.3586, 0.6414, 0.4545)  1 In 2.10
F (0.6414, 0.3586, 0.5455)  1 In 2.10
F (0.6414, 0.3586, 0.9545)  1 In 2.10

ΔE_f (raw)	-146.2	kJ per mole of atoms
uncorrected energy	-4.11	eV per atom
space group	Cmcm
M_tot	0.0	Bohr magnetons per cell

# 8
The following is a DFT calculation (PBE) of crystalline Zn2InSF at its relaxed geometry.

abc: 5.2237 5.2237 4.2945
angles: 90.00 90.00 90.00
With the nearest neighbours (Å) after each atom.
Element x y z (fractional)
Zn (0.0000, 0.5000, 0.0000)  2 In 2.61
Zn (0.5000, 0.0000, 0.0000)  2 In 2.61
In (0.0000, 0.0000, 0.0000)  2 F 2.15
S (0.5000, 0.5000, 0.5000)  8 Zn 3.38, 4 F 3.69
F (0.0000, 0.0000, 0.5000)  2 In 2.15

ΔE_f (raw)	-8.9	kJ per mole of atoms
DOS(E_F)	3.3	states/eV/cell
uncorrected energy	-2.35	eV per atom
space group	P4/mmm
M_tot	0.0	Bohr magnetons per cell

# 9
The following is a DFT calculation (PBE) of crystalline ZrInS2F at its relaxed geometry.

abc: 5.0844 5.0844 4.2569
angles: 90.00 90.00 90.00
With the nearest neighbours (Å) after each atom.
Element x y z (fractional)
Zr (0.0000, 0.0000, 0.0000)  2 F 2.13
In (0.5000, 0.5000, 0.5000)  8 S 3.32, 4 F 3.60
S (0.0000, 0.5000, 0.0000)  2 Zr 2.54
S (0.5000, 0.0000, 0.0000)  2 Zr 2.54
F (0.0000, 0.0000, 0.5000)  2 Zr 2.13

ΔE_f (raw)	-152.8	kJ per mole of atoms
DOS(E_F)	0.6	states/eV/cell
uncorrected energy	-5.87	eV per atom
space group	P4/mmm
M_tot	0.0	Bohr magnetons per cell

# 10
The following is a DFT calculation (PBE) of crystalline In12Sb3F5 at its relaxed geometry.

abc: 14.3345 14.3345 14.3345
angles: 109.47 109.47 109.47
With the nearest neighbours (Å) after each atom.
Element x y z (fractional)
In (0.0212, 0.2021, 0.1101)  2 F 2.46-2.65
In (0.0212, 0.3192, 0.9111)  2 F 2.46-2.65
In (0.0889, 0.6101, 0.4081)  2 F 2.46-2.65
In (0.0889, 0.9788, 0.6808)  2 F 2.46-2.65
In (0.0919, 0.7021, 0.6808)  2 F 2.46-2.65
In (0.0919, 0.8899, 0.4111)  2 F 2.46-2.65
In (0.1101, 0.0212, 0.2021)  2 F 2.46-2.65
In (0.1101, 0.5889, 0.9081)  2 F 2.46-2.65
In (0.1808, 0.2021, 0.5919)  2 F 2.46-2.65
In (0.1808, 0.4788, 0.5889)  2 F 2.46-2.65
In (0.2021, 0.1101, 0.0212)  2 F 2.46-2.65
In (0.2021, 0.5919, 0.1808)  2 F 2.46-2.65
In (0.2979, 0.3192, 0.9081)  2 F 2.46-2.65
In (0.2979, 0.4788, 0.3899)  2 F 2.46-2.65
In (0.3192, 0.9081, 0.2979)  2 F 2.46-2.65
In (0.3192, 0.9111, 0.0212)  2 F 2.46-2.65
In (0.3899, 0.2979, 0.4788)  2 F 2.46-2.65
In (0.3899, 0.5919, 0.9111)  2 F 2.46-2.65
In (0.4081, 0.0889, 0.6101)  2 F 2.46-2.65
In (0.4081, 0.8192, 0.7979)  2 F 2.46-2.65
In (0.4111, 0.0919, 0.8899)  2 F 2.46-2.65
In (0.4111, 0.8192, 0.5212)  2 F 2.46-2.65
In (0.4788, 0.3899, 0.2979)  2 F 2.46-2.65
In (0.4788, 0.5889, 0.1808)  2 F 2.46-2.65
In (0.5212, 0.4111, 0.8192)  2 F 2.46-2.65
In (0.5212, 0.6101, 0.7021)  2 F 2.46-2.65
In (0.5889, 0.1808, 0.4788)  2 F 2.46-2.65
In (0.5889, 0.9081, 0.1101)  2 F 2.46-2.65
In (0.5919, 0.1808, 0.2021)  2 F 2.46-2.65
In (0.5919, 0.9111, 0.3899)  2 F 2.46-2.65
In (0.6101, 0.4081, 0.0889)  2 F 2.46-2.65
In (0.6101, 0.7021, 0.5212)  2 F 2.46-2.65
In (0.6808, 0.0889, 0.9788)  2 F 2.46-2.65
In (0.6808, 0.0919, 0.7021)  2 F 2.46-2.65
In (0.7021, 0.5212, 0.6101)  2 F 2.46-2.65
In (0.7021, 0.6808, 0.0919)  2 F 2.46-2.65
In (0.7979, 0.4081, 0.8192)  2 F 2.46-2.65
In (0.7979, 0.8899, 0.9788)  2 F 2.46-2.65
In (0.8192, 0.5212, 0.4111)  2 F 2.46-2.65
In (0.8192, 0.7979, 0.4081)  2 F 2.46-2.65
In (0.8899, 0.4111, 0.0919)  2 F 2.46-2.65
In (0.8899, 0.9788, 0.7979)  2 F 2.46-2.65
In (0.9081, 0.1101, 0.5889)  2 F 2.46-2.65
In (0.9081, 0.2979, 0.3192)  2 F 2.46-2.65
In (0.9111, 0.0212, 0.3192)  2 F 2.46-2.65
In (0.9111, 0.3899, 0.5919)  2 F 2.46-2.65
In (0.9788, 0.6808, 0.0889)  2 F 2.46-2.65
In (0.9788, 0.7979, 0.8899)  2 F 2.46-2.65
Sb (0.1250, 0.2500, 0.3750)  8 In 3.27-3.30
Sb (0.1250, 0.3750, 0.7500)  8 In 3.27-3.30
Sb (0.2500, 0.3750, 0.1250)  8 In 3.27-3.30
Sb (0.2500, 0.8750, 0.6250)  8 In 3.27-3.30
Sb (0.3750, 0.1250, 0.2500)  8 In 3.27-3.30
Sb (0.3750, 0.7500, 0.1250)  8 In 3.27-3.30
Sb (0.6250, 0.2500, 0.8750)  8 In 3.27-3.30
Sb (0.6250, 0.8750, 0.7500)  8 In 3.27-3.30
Sb (0.7500, 0.1250, 0.3750)  8 In 3.27-3.30
Sb (0.7500, 0.6250, 0.8750)  8 In 3.27-3.30
Sb (0.8750, 0.6250, 0.2500)  8 In 3.27-3.30
Sb (0.8750, 0.7500, 0.6250)  8 In 3.27-3.30
F (0.0000, 0.0000, 0.0000)  6 In 2.65
F (0.0000, 0.0000, 0.5000)  6 In 2.65
F (0.0000, 0.5000, 0.0000)  6 In 2.65
F (0.0000, 0.5000, 0.5000)  6 In 2.65
F (0.1250, 0.7500, 0.8750)  4 In 2.46
F (0.1250, 0.8750, 0.2500)  4 In 2.46
F (0.2500, 0.1250, 0.8750)  4 In 2.46
F (0.2500, 0.6250, 0.3750)  4 In 2.46
F (0.3750, 0.2500, 0.6250)  4 In 2.46
F (0.3750, 0.6250, 0.7500)  4 In 2.46
F (0.5000, 0.0000, 0.0000)  6 In 2.65
F (0.5000, 0.0000, 0.5000)  6 In 2.65
F (0.5000, 0.5000, 0.0000)  6 In 2.65
F (0.5000, 0.5000, 0.5000)  6 In 2.65
F (0.6250, 0.3750, 0.2500)  4 In 2.46
F (0.6250, 0.7500, 0.3750)  4 In 2.46
F (0.7500, 0.3750, 0.6250)  4 In 2.46
F (0.7500, 0.8750, 0.1250)  4 In 2.46
F (0.8750, 0.1250, 0.7500)  4 In 2.46
F (0.8750, 0.2500, 0.1250)  4 In 2.46

ΔE_f (raw)	-64.2	kJ per mole of atoms
DOS(E_F)	23.6	states/eV/cell
uncorrected energy	-3.39	eV per atom
space group	Ia-3d
M_tot	0.0	Bohr magnetons per cell

# 11
The following is a DFT calculation (PBE) of crystalline In2SbF11 at its relaxed geometry.

abc: 8.1603 8.1603 8.1603
angles: 124.35 105.51 99.69
With the nearest neighbours (Å) after each atom.
Element x y z (fractional)
In (0.1820, 0.1371, 0.3191)  7 F 2.02-2.25
In (0.3180, 0.6371, 0.9551)  7 F 2.02-2.25
In (0.6820, 0.3629, 0.0449)  7 F 2.02-2.25
In (0.8180, 0.8629, 0.6809)  7 F 2.02-2.25
Sb (0.2500, 0.7500, 0.5000)  8 F 2.04
Sb (0.7500, 0.2500, 0.5000)  8 F 2.04
F (0.0000, 0.0000, 0.0000)  2 In 2.08
F (0.0120, 0.4393, 0.7553)  1 Sb 2.04, 1 In 2.23
F (0.0805, 0.8519, 0.6456)  1 Sb 2.04, 1 In 2.25
F (0.1840, 0.9393, 0.4273)  1 Sb 2.04, 1 In 2.23
F (0.2063, 0.4349, 0.3544)  1 Sb 2.04, 1 In 2.25
F (0.2154, 0.8664, 0.0818)  2 In 2.02-2.09
F (0.2846, 0.3664, 0.6511)  2 In 2.02-2.09
F (0.2937, 0.6481, 0.2286)  1 Sb 2.04, 1 In 2.25
F (0.3160, 0.7433, 0.7553)  1 Sb 2.04, 1 In 2.23
F (0.4195, 0.0651, 0.7714)  1 Sb 2.04, 1 In 2.25
F (0.4880, 0.2433, 0.4273)  1 Sb 2.04, 1 In 2.23
F (0.5000, 0.5000, 0.0000)  2 In 2.08
F (0.5120, 0.7567, 0.5727)  1 Sb 2.04, 1 In 2.23
F (0.5805, 0.9349, 0.2286)  1 Sb 2.04, 1 In 2.25
F (0.6840, 0.2567, 0.2447)  1 Sb 2.04, 1 In 2.23
F (0.7063, 0.3519, 0.7714)  1 Sb 2.04, 1 In 2.25
F (0.7154, 0.6336, 0.3489)  2 In 2.02-2.09
F (0.7846, 0.1336, 0.9182)  2 In 2.02-2.09
F (0.7937, 0.5651, 0.6456)  1 Sb 2.04, 1 In 2.25
F (0.8160, 0.0607, 0.5727)  1 Sb 2.04, 1 In 2.23
F (0.9195, 0.1481, 0.3544)  1 Sb 2.04, 1 In 2.25
F (0.9880, 0.5607, 0.2447)  1 Sb 2.04, 1 In 2.23

ΔE_f (raw)	-216.3	kJ per mole of atoms
uncorrected energy	-4.40	eV per atom
space group	Ibam
M_tot	0.0	Bohr magnetons per cell

# 12
The following is a DFT calculation (PBE) of crystalline In2SbF2 at its relaxed geometry.

abc: 8.5947 8.5947 3.3275
angles: 90.00 90.00 90.00
With the nearest neighbours (Å) after each atom.
Element x y z (fractional)
In (0.2435, 0.2565, 0.0000)  2 F 2.22
In (0.2565, 0.7565, 0.0000)  2 F 2.22
In (0.7435, 0.2435, 0.0000)  2 F 2.22
In (0.7565, 0.7435, 0.0000)  2 F 2.22
Sb (0.0000, 0.0000, 0.0000)  4 In 3.04, 2 Sb 3.33
Sb (0.5000, 0.5000, 0.0000)  4 In 3.04, 2 Sb 3.33
F (0.1230, 0.3770, 0.5000)  2 In 2.22
F (0.3770, 0.8770, 0.5000)  2 In 2.22
F (0.6230, 0.1230, 0.5000)  2 In 2.22
F (0.8770, 0.6230, 0.5000)  2 In 2.22

ΔE_f (raw)	-117.8	kJ per mole of atoms
DOS(E_F)	2.5	states/eV/cell
uncorrected energy	-3.89	eV per atom
space group	P4/mbm
M_tot	0.0	Bohr magnetons per cell

Repeat the seventh record exactly.
The following is a DFT calculation (PBE) of crystalline TlInSF2 at its relaxed geometry.

abc: 7.5609 7.5609 7.5262
angles: 90.00 90.00 151.48
With the nearest neighbours (Å) after each atom.
Element x y z (fractional)
Tl (0.2362, 0.7638, 0.7500)  6 F 2.79-2.86
Tl (0.7638, 0.2362, 0.2500)  6 F 2.79-2.86
In (0.5000, 0.5000, 0.0000)  2 F 2.10
In (0.5000, 0.5000, 0.5000)  2 F 2.10
S (0.0330, 0.9670, 0.2500)  4 In 2.69
S (0.9670, 0.0330, 0.7500)  4 In 2.69
F (0.3586, 0.6414, 0.0455)  1 In 2.10
F (0.3586, 0.6414, 0.4545)  1 In 2.10
F (0.6414, 0.3586, 0.5455)  1 In 2.10
F (0.6414, 0.3586, 0.9545)  1 In 2.10

ΔE_f (raw)	-146.2	kJ per mole of atoms
uncorrected energy	-4.11	eV per atom
space group	Cmcm
M_tot	0.0	Bohr magnetons per cell